This record from the Alexandria database describes a geometry-optimized Y2Ho3ScBi6 structure. The functional is PBE-GGA.

The structure belongs to space group C2/m (No. 12); the cell edges are 19.336, 4.438 and 8.878 Å and the angles 90.00°, 103.22° and 90.00°. The distinct sites, in fractional coordinates, are Y at (0.166, 0.000, 0.332), Ho at (0.000, 0.500, 0.500), Ho at (0.169, 0.000, 0.834), Sc at (0.000, 0.500, 0.000), Bi at (0.002, 0.000, 0.760), Bi at (0.163, 0.500, 0.080) and Bi at (0.166, 0.500, 0.584).

The formation energy is -9.85 eV per formula unit.


This record from the Alexandria database describes a geometry-optimized YHoSc2Bi4 structure. The functional is PBE-GGA.

The structure belongs to space group P2/m (No. 10); the cell edges are 7.566, 4.371 and 7.573 Å and the angles 90.00°, 109.46° and 90.00°. The distinct sites, in fractional coordinates, are Y at (0.000, 0.000, 0.000), Ho at (0.000, 0.500, 0.500), Sc at (0.500, 0.000, 0.500), Sc at (0.500, 0.500, 0.000), Bi at (0.264, 0.000, 0.754) and Bi at (0.265, 0.500, 0.256).

The formation energy is -6.07 eV per formula unit.


This record from the Alexandria database describes a geometry-optimized Y2HoScBi4 structure. The functional is PBE-GGA.

The structure belongs to space group P2/m (No. 10); the cell edges are 7.666, 4.429 and 7.666 Å and the angles 90.00°, 109.47° and 90.00°. The distinct sites, in fractional coordinates, are Y at (0.000, 0.000, 0.000), Y at (0.500, 0.500, 0.000), Ho at (0.000, 0.500, 0.500), Sc at (0.500, 0.000, 0.500), Bi at (0.254, 0.000, 0.744) and Bi at (0.259, 0.500, 0.261).

The formation energy is -6.51 eV per formula unit.


This record from the Alexandria database describes a geometry-optimized Y2HoSc3Bi6 structure. The functional is PBE-GGA.

The structure belongs to space group C2/m (No. 12); the cell edges are 7.575, 13.125 and 7.565 Å and the angles 90.00°, 109.48° and 90.00°. The distinct sites, in fractional coordinates, are Y at (0.000, 0.166, 0.000), Ho at (0.000, 0.500, 0.000), Sc at (0.000, 0.000, 0.500), Sc at (0.000, 0.333, 0.500), Bi at (0.244, 0.500, 0.735) and Bi at (0.246, 0.166, 0.736).

The formation energy is -9.18 eV per formula unit.


This record from the Alexandria database describes a geometry-optimized Ho5BiSe4 structure. The functional is PBE-GGA.

The structure belongs to space group C2/m (No. 12); the cell edges are 13.758, 4.131 and 10.121 Å and the angles 90.00°, 119.39° and 90.00°. The distinct sites, in fractional coordinates, are Ho at (0.000, 0.000, 0.000), Ho at (0.108, 0.500, 0.389), Ho at (0.207, 0.000, 0.816), Bi at (0.000, 0.000, 0.500), Se at (0.094, 0.500, 0.896) and Se at (0.205, 0.000, 0.294).

The formation energy (no corrections) is -1.526 eV per atom.


This record from the Alexandria database describes a geometry-optimized Ho3BiSe6 structure. The functional is PBE-GGA.

The structure belongs to space group P2_1/m (No. 11); the cell edges are 11.744, 4.156 and 11.866 Å and the angles 90.00°, 109.49° and 90.00°. The distinct sites, in fractional coordinates, are Ho at (0.068, 0.250, 0.165), Ho at (0.169, 0.750, 0.494), Ho at (0.341, 0.250, 0.920), Bi at (0.479, 0.250, 0.314), Se at (0.015, 0.250, 0.382), Se at (0.106, 0.250, 0.938), Se at (0.234, 0.750, 0.278), Se at (0.300, 0.750, 0.746), Se at (0.382, 0.250, 0.528) and Se at (0.420, 0.750, 0.092).

The formation energy (no corrections) is -1.468 eV per atom.


Number 1: D(E_F) 4.147 states/eV per cell, volume 30.9 A^3/atom, uncorrected energy -5.511 eV per atom. Number 2: D(E_F) 1.474 states/eV per cell, volume 29.5 A^3/atom, uncorrected energy -5.663 eV per atom. Number 3: D(E_F) 1.360 states/eV per cell, volume 30.7 A^3/atom, uncorrected energy -5.734 eV per atom. Number 4: D(E_F) 4.250 states/eV per cell, volume 29.5 A^3/atom, uncorrected energy -5.747 eV per atom. Number 5: D(E_F) 6.889 states/eV per cell, volume 25.1 A^3/atom, uncorrected energy -5.597 eV per atom. Number 6: D(E_F) 0.000 states/eV per cell, volume 27.3 A^3/atom, uncorrected energy -5.320 eV per atom.